[1]
First-principles (meta-GGA SCAN) data for a crystal of MgP2PdCl relaxed with PBEsol, as listed in the Alexandria database.

Lattice parameters (Å, degrees): 4.7611 4.7611 4.5685 90.00 90.00 90.00
Space group P4/mmm (No. 123)
Inequivalent atoms, fractional coordinates:
Mg  0.0000  0.0000  0.0000 (multiplicity 1)
P  0.0000  0.5000  0.0000 (multiplicity 2)
Pd  0.5000  0.5000  0.5000 (multiplicity 1)
Cl  0.0000  0.0000  0.5000 (multiplicity 1)

ΔE_f (raw) = 666.8 meV per atom
crystal system = tetragonal
total energy = -0.4644 Ha/atom
ρ = 3.66 g/cm³

[2]
First-principles (meta-GGA SCAN) data for a crystal of Rb2NaSmF6 relaxed with PBEsol, as listed in the Alexandria database.

Lattice parameters (Å, degrees): 8.9354 8.9354 8.9354 90.00 90.00 90.00
Space group Fm-3m (No. 225)
Inequivalent atoms, fractional coordinates:
Rb  0.2500  0.2500  0.2500 (multiplicity 8)
Na  0.0000  0.0000  0.0000 (multiplicity 4)
Sm  0.0000  0.0000  0.5000 (multiplicity 4)
F  0.0000  0.0000  0.2522 (multiplicity 24)

ΔE_f (raw) = -3493.5 meV per atom
crystal system = cubic
total energy = -0.5377 Ha/atom
ρ = 4.27 g/cm³

[3]
First-principles (meta-GGA SCAN) data for a crystal of P2IrAu relaxed with PBEsol, as listed in the Alexandria database.

Lattice parameters (Å, degrees): 4.8705 4.8705 5.3416 90.00 90.00 90.00
Space group I4/mmm (No. 139)
Inequivalent atoms, fractional coordinates:
P  0.0000  0.5000  0.0000 (multiplicity 4)
Ir  0.0000  0.0000  0.0000 (multiplicity 2)
Au  0.0000  0.0000  0.5000 (multiplicity 2)

ΔH_f (0 K) = 1.02 eV per formula unit
crystal system = tetragonal
total energy = -1.4703 Ha/atom
ρ = 11.82 g/cm³

[4]
First-principles (meta-GGA SCAN) data for a crystal of HfSeIO2 relaxed with PBEsol, as listed in the Alexandria database.

Lattice parameters (Å, degrees): 4.0136 4.0136 6.2632 90.00 90.00 90.00
Space group P4/mmm (No. 123)
Inequivalent atoms, fractional coordinates:
Hf  0.0000  0.0000  0.0000 (multiplicity 1)
Se  0.5000  0.5000  0.5000 (multiplicity 1)
I  0.0000  0.0000  0.5000 (multiplicity 1)
O  0.0000  0.5000  0.0000 (multiplicity 2)

ΔE_f (raw) = -1484.8 meV per atom
crystal system = tetragonal
total energy = -1.0244 Ha/atom
ρ = 6.85 g/cm³

[5]
First-principles (meta-GGA SCAN) data for a crystal of K2RbSe2 relaxed with PBEsol, as listed in the Alexandria database.

Lattice parameters (Å, degrees): 5.0899 5.0899 13.6092 90.00 90.00 90.00
Space group I4/mmm (No. 139)
Inequivalent atoms, fractional coordinates:
K  0.0000  0.5000  0.2500 (multiplicity 4)
Rb  0.0000  0.0000  0.0000 (multiplicity 2)
Se  0.0000  0.0000  0.3932 (multiplicity 4)

ΔE_f (raw) = -982.1 meV per atom
crystal system = tetragonal
total energy = -0.6061 Ha/atom
ρ = 3.03 g/cm³

[6]
First-principles (meta-GGA SCAN) data for a crystal of Ba3HgS relaxed with PBEsol, as listed in the Alexandria database.

Lattice parameters (Å, degrees): 5.9932 5.9932 5.9932 90.00 90.00 90.00
Space group Pm-3m (No. 221)
Inequivalent atoms, fractional coordinates:
Ba  0.0000  0.0000  0.5000 (multiplicity 3)
Hg  0.5000  0.5000  0.5000 (multiplicity 1)
S  0.0000  0.0000  0.0000 (multiplicity 1)

ΔE_f (raw) = -966.3 meV per atom
crystal system = cubic
total energy = -1.4794 Ha/atom
ρ = 4.97 g/cm³

Q: What is the formula in the second record?
A: Rb2NaSmF6